# 1
VASP calculation (PBE) on crystalline NaSn2F2 at its relaxed geometry.

Summary:
As for the density of states at the Fermi level: 1.998 states/eV/f.u. As for the crystal system: tetragonal. For the total energy, the calculation gives -3.66 eV per atom. Its calculated density is 4.6 Mg/m³.

Cell lengths 4.2544, 4.2544, 11.9066 Å; angles 90.00, 90.00, 90.00 degrees
With the nearest neighbours (Å) after each atom.
Atoms (fractional coordinates):
Na: 0.0000 0.0000 0.0000  8 Sn 3.37, 8 F 3.66
Na: 0.5000 0.5000 0.5000  8 Sn 3.37, 8 F 3.66
Sn: 0.0000 0.0000 0.3727  4 F 2.58
Sn: 0.0000 0.0000 0.6273  4 F 2.58
Sn: 0.5000 0.5000 0.1273  4 F 2.58
Sn: 0.5000 0.5000 0.8727  4 F 2.58
F: 0.0000 0.5000 0.2500  4 Sn 2.58
F: 0.0000 0.5000 0.7500  4 Sn 2.58
F: 0.5000 0.0000 0.2500  4 Sn 2.58
F: 0.5000 0.0000 0.7500  4 Sn 2.58

=====

# 2
VASP calculation (PBE) on crystalline Pu3WN7 at its relaxed geometry.

Summary:
As for the density of states at the Fermi level: 14.814 states/eV/f.u. As for the crystal system: orthorhombic. For the total energy, the calculation gives -11.17 eV per atom. Its calculated density is 12.0 Mg/m³.

Cell lengths 6.3534, 6.3534, 7.3841 Å; angles 90.00, 90.00, 109.40 degrees
With the nearest neighbours (Å) after each atom.
Atoms (fractional coordinates):
Pu: 0.0107 0.0107 0.0000  6 N 2.27-2.40
Pu: 0.0345 0.4991 0.2551  6 N 2.14-2.38
Pu: 0.4991 0.0345 0.7449  6 N 2.14-2.38
Pu: 0.5009 0.9655 0.2449  6 N 2.14-2.38
Pu: 0.9655 0.5009 0.7551  6 N 2.14-2.38
Pu: 0.9893 0.9893 0.5000  6 N 2.27-2.40
W: 0.4842 0.4842 0.5000  4 N 1.93-1.99
W: 0.5158 0.5158 0.0000  4 N 1.93-1.99
N: 0.1275 0.8725 0.7500  4 Pu 2.24-2.27
N: 0.1443 0.8557 0.2500  4 Pu 2.14-2.38
N: 0.1536 0.4091 0.9761  1 W 2.18, 3 Pu 2.21-2.40
N: 0.1691 0.4235 0.5399  1 W 1.93
N: 0.4091 0.1536 0.0239  1 W 2.18, 3 Pu 2.21-2.40
N: 0.4235 0.1691 0.4601  1 W 1.93
N: 0.4305 0.5695 0.2500  2 W 1.99
N: 0.5695 0.4305 0.7500  2 W 1.99
N: 0.5765 0.8309 0.9601  1 W 1.93
N: 0.5909 0.8464 0.5239  1 W 2.18, 3 Pu 2.21-2.40
N: 0.8309 0.5765 0.0399  1 W 1.93
N: 0.8464 0.5909 0.4761  1 W 2.18, 3 Pu 2.21-2.40
N: 0.8557 0.1443 0.7500  4 Pu 2.14-2.38
N: 0.8725 0.1275 0.2500  4 Pu 2.24-2.27

=====

# 3
VASP calculation (PBE) on crystalline Pr5ErHg5 at its relaxed geometry.

Summary:
As for the density of states at the Fermi level: 13.109 states/eV/f.u. As for the crystal system: monoclinic. For the total energy, the calculation gives -2.98 eV per atom. Its calculated density is 9.2 Mg/m³.

Cell lengths 8.9825, 8.9825, 7.3015 Å; angles 109.47, 109.47, 37.77 degrees
With the nearest neighbours (Å) after each atom.
Atoms (fractional coordinates):
Pr: 0.0000 0.0000 0.0000  2 Hg 3.09
Pr: 0.3063 0.3063 0.2577  5 Hg 3.05-3.20
Pr: 0.3740 0.3740 0.8041  4 Hg 3.41-3.59, 3 Pr 3.59-3.74
Pr: 0.6260 0.6260 0.1959  4 Hg 3.41-3.59, 3 Pr 3.59-3.74
Pr: 0.6937 0.6937 0.7423  5 Hg 3.05-3.20
Er: 0.0000 0.0000 0.5000  6 Hg 2.91-3.07
Hg: 0.1562 0.1562 0.8756  4 Pr 3.05-3.20, 1 Er 3.07, 1 Hg 3.17
Hg: 0.1712 0.1712 0.4556  1 Er 3.04, 1 Pr 3.11, 1 Hg 3.17
Hg: 0.5000 0.5000 0.5000  2 Er 2.91, 2 Pr 3.14
Hg: 0.8288 0.8288 0.5444  1 Er 3.04, 1 Pr 3.11, 1 Hg 3.17
Hg: 0.8438 0.8438 0.1244  4 Pr 3.05-3.20, 1 Er 3.07, 1 Hg 3.17

=====

# 4
VASP calculation (PBE) on crystalline Pm4YEr3 at its relaxed geometry.

Summary:
As for the density of states at the Fermi level: 14.830 states/eV/f.u. As for the crystal system: orthorhombic. As for the energy above the most stable polymorph in this dataset: 0.000 eV per formula unit. Its calculated density is 7.3 Mg/m³.

Cell lengths 11.4822, 7.3104, 6.3025 Å; angles 90.00, 90.00, 90.00 degrees
With the nearest neighbours (Å) after each atom.
Atoms (fractional coordinates):
Pm: 0.0000 0.1274 0.0000  6 Pm 3.55-3.69, 4 Er 3.56-3.67, 2 Y 3.62-3.69
Pm: 0.0000 0.8719 0.5051  6 Pm 3.56-3.69, 4 Er 3.56-3.71, 2 Y 3.64
Pm: 0.2477 0.1272 0.3367  5 Er 3.55-3.70, 6 Pm 3.55-3.66, 1 Y 3.59
Pm: 0.2523 0.8728 0.8367  5 Er 3.55-3.70, 6 Pm 3.55-3.66, 1 Y 3.59
Pm: 0.5000 0.1281 0.0051  6 Pm 3.56-3.69, 4 Er 3.56-3.71, 2 Y 3.64
Pm: 0.5000 0.8726 0.5000  6 Pm 3.55-3.69, 4 Er 3.56-3.67, 2 Y 3.62-3.69
Pm: 0.7477 0.8728 0.8367  5 Er 3.55-3.70, 6 Pm 3.55-3.66, 1 Y 3.59
Pm: 0.7523 0.1272 0.3367  5 Er 3.55-3.70, 6 Pm 3.55-3.66, 1 Y 3.59
Y: 0.0000 0.6224 0.0050  6 Er 3.54-3.63, 6 Pm 3.59-3.69
Y: 0.5000 0.3776 0.5050  6 Er 3.54-3.63, 6 Pm 3.59-3.69
Er: 0.0000 0.3791 0.5037  4 Er 3.53-3.56, 6 Pm 3.55-3.71, 2 Y 3.61-3.63
Er: 0.2500 0.3783 0.8377  4 Er 3.53-3.62, 2 Y 3.54-3.56, 6 Pm 3.56-3.70
Er: 0.2500 0.6217 0.3377  4 Er 3.53-3.62, 2 Y 3.54-3.56, 6 Pm 3.56-3.70
Er: 0.5000 0.6209 0.0037  4 Er 3.53-3.56, 6 Pm 3.55-3.71, 2 Y 3.61-3.63
Er: 0.7500 0.3783 0.8377  4 Er 3.53-3.62, 2 Y 3.54-3.56, 6 Pm 3.56-3.70
Er: 0.7500 0.6217 0.3377  4 Er 3.53-3.62, 2 Y 3.54-3.56, 6 Pm 3.56-3.70

=====

# 5
VASP calculation (PBE) on crystalline Er8Sb2Pt at its relaxed geometry.

Summary:
As for the density of states at the Fermi level: 11.488 states/eV/f.u. As for the crystal system: monoclinic. For the total energy, the calculation gives -5.21 eV per atom. Its calculated density is 9.6 Mg/m³.

Cell lengths 9.5380, 9.5380, 7.2856 Å; angles 96.14, 96.14, 27.90 degrees
With the nearest neighbours (Å) after each atom.
Atoms (fractional coordinates):
Er: 0.0010 0.0010 0.2299  2 Pt 2.84
Er: 0.2143 0.2143 0.3534  3 Sb 3.19-3.21, 7 Er 3.31-3.53
Er: 0.3526 0.3526 0.9602  1 Pt 2.71
Er: 0.4038 0.4038 0.4800  2 Sb 3.25, 8 Er 3.47-3.55
Er: 0.5962 0.5962 0.5200  2 Sb 3.25, 8 Er 3.47-3.55
Er: 0.6474 0.6474 0.0398  1 Pt 2.71
Er: 0.7857 0.7857 0.6466  3 Sb 3.19-3.21, 7 Er 3.31-3.53
Er: 0.9990 0.9990 0.7701  2 Pt 2.84
Sb: 0.1813 0.1813 0.7739  9 Er 3.12-3.37
Sb: 0.8187 0.8187 0.2261  9 Er 3.12-3.37
Pt: 0.5000 0.5000 0.0000  6 Er 2.71-2.84

=====

# 6
VASP calculation (PBE) on crystalline Pr2Sm3Dy2 at its relaxed geometry.

Summary:
As for the density of states at the Fermi level: 9.924 states/eV/f.u. As for the crystal system: monoclinic. As for the energy above the most stable polymorph in this dataset: 0.603 eV per formula unit. Its calculated density is 7.3 Mg/m³.

Cell lengths 17.6592, 3.5374, 8.7752 Å; angles 90.00, 119.08, 90.00 degrees
With the nearest neighbours (Å) after each atom.
Atoms (fractional coordinates):
Pr: 0.1453 0.0000 0.3239  4 Pr 3.54-3.90, 4 Sm 3.58-3.80, 4 Dy 3.69-3.70
Pr: 0.3547 0.5000 0.6761  4 Pr 3.54-3.90, 4 Sm 3.58-3.80, 4 Dy 3.69-3.70
Pr: 0.6453 0.5000 0.3239  4 Pr 3.54-3.90, 4 Sm 3.58-3.80, 4 Dy 3.69-3.70
Pr: 0.8547 0.0000 0.6761  4 Pr 3.54-3.90, 4 Sm 3.58-3.80, 4 Dy 3.69-3.70
Sm: 0.0000 0.0000 0.5000  4 Sm 3.40-3.54, 2 Pr 3.58, 4 Dy 3.62
Sm: 0.2128 0.0000 0.8063  5 Sm 3.40-3.54, 3 Dy 3.49-3.60, 3 Pr 3.67-3.80
Sm: 0.2872 0.5000 0.1937  5 Sm 3.40-3.54, 3 Dy 3.49-3.60, 3 Pr 3.67-3.80
Sm: 0.5000 0.5000 0.5000  4 Sm 3.40-3.54, 2 Pr 3.58, 4 Dy 3.62
Sm: 0.7128 0.5000 0.8063  5 Sm 3.40-3.54, 3 Dy 3.49-3.60, 3 Pr 3.67-3.80
Sm: 0.7872 0.0000 0.1937  5 Sm 3.40-3.54, 3 Dy 3.49-3.60, 3 Pr 3.67-3.80
Dy: 0.0646 0.5000 0.9050  3 Dy 3.42-3.54, 5 Sm 3.49-3.62, 4 Pr 3.69-3.70
Dy: 0.4354 0.0000 0.0950  3 Dy 3.42-3.54, 5 Sm 3.49-3.62, 4 Pr 3.69-3.70
Dy: 0.5646 0.0000 0.9050  3 Dy 3.42-3.54, 5 Sm 3.49-3.62, 4 Pr 3.69-3.70
Dy: 0.9354 0.5000 0.0950  3 Dy 3.42-3.54, 5 Sm 3.49-3.62, 4 Pr 3.69-3.70